1.
{
  "formula": "CuMoPt2",
  "functional": "PBEsol",
  "state": "optimized geometry",
  "density_g_cm3": 16.249,
  "delta_e_f_ev_per_atom": -0.31,
  "total_energy_ev_per_atom": -7.81,
  "sg": "No. 123",
  "lattice": [[-2.2333, 0.0652, -1.5903], [1.5869, -0.1186, -2.2335], [-0.3319, -7.4594, 0.1601]],
  "species": ["Pt", "Pt", "Mo", "Cu"],
  "frac_coords": [[0.0000, 0.0000, 0.7564], [0.0000, 0.0000, 0.2436], [0.5000, 0.5000, 0.5000], [0.5000, 0.5000, 0.0000]]
}

=====

2.
{
  "formula": "Rb3CuMo",
  "functional": "PBEsol",
  "state": "optimized geometry",
  "density_g_cm3": 2.687,
  "delta_e_f_ev_per_atom": 1.42,
  "total_energy_ev_per_atom": -2.42,
  "sg": "No. 221",
  "lattice": [[-1.3960, 5.2924, -3.2350], [-1.9034, -3.5214, -4.9396], [-5.9035, -0.1161, 2.3576]],
  "species": ["Rb", "Rb", "Rb", "Mo", "Cu"],
  "frac_coords": [[0.0000, 0.5000, 0.0000], [0.5000, 0.0000, 0.0000], [0.0000, 0.0000, 0.5000], [0.5000, 0.5000, 0.5000], [0.0000, 0.0000, 0.0000]]
}

=====

3.
{
  "formula": "RbCuMo3",
  "functional": "PBEsol",
  "state": "optimized geometry",
  "density_g_cm3": 6.890,
  "delta_e_f_ev_per_atom": 2.29,
  "total_energy_ev_per_atom": -5.84,
  "sg": "No. 221",
  "lattice": [[4.7220, 0.0000, 0.0000], [0.0000, 4.7220, 0.0000], [0.0000, 0.0000, 4.7220]],
  "species": ["Mo", "Mo", "Mo", "Cu", "Rb"],
  "frac_coords": [[0.5000, 0.0000, 0.0000], [0.0000, 0.5000, 0.0000], [0.0000, 0.0000, 0.5000], [0.0000, 0.0000, 0.0000], [0.5000, 0.5000, 0.5000]]
}